# Mg2Ni2O5, optimized geometry, DFT PBE with a Hubbard U
data_Mg2Ni2O5
_symmetry_space_group_name_H-M 'P b a m'
_symmetry_Int_Tables_number 55
_cell_length_a 4.0978
_cell_length_b 11.7523
_cell_length_c 3.8287
_cell_angle_alpha 90.00
_cell_angle_beta 90.00
_cell_angle_gamma 90.00
loop_
_symmetry_equiv_pos_as_xyz
'x,y,z'
'-x,-y,-z'
'-x,-y,z'
'x,y,-z'
'x+1/2,-y+1/2,-z'
'-x+1/2,y+1/2,z'
'-x+1/2,y+1/2,-z'
'x+1/2,-y+1/2,z'
loop_
_atom_site_label
_atom_site_type_symbol
_atom_site_fract_x
_atom_site_fract_y
_atom_site_fract_z
_atom_site_occupancy
Mg1 Mg 0.2281 0.0895 0.0000 1
Ni1 Ni 0.2444 0.8460 0.5000 1
O1 O 0.0000 0.0000 0.5000 1
O2 O 0.2238 0.3907 0.0000 1
O3 O 0.2466 0.6753 0.5000 1
# Total energy   -5.089 eV/atom